[1]
Below is a relaxed Cs2RuO crystal, with properties calculated at the PBE level.

Properties
energy relative to the elements, uncorrected = 0.971 eV/atom
volume = 101.21 Å³ per cell
SG = Fm-3m, No. 225
mass density = 6.282 Mg/m³

```
Cs2RuO
1.0
0.000 3.699 3.699
3.699 0.000 3.699
3.699 3.699 0.000
Cs Ru O
2 1 1
direct
0.250 0.250 0.250 Cs
0.750 0.750 0.750 Cs
0.000 0.000 0.000 Ru
0.500 0.500 0.500 O
```

---

[2]
Below is a relaxed Pm3ErIn2 crystal, with properties calculated at the PBE level.

Properties
volume = 177.62 Å³ per cell
SG = Cmmm, No. 65
E_form = -0.3114 eV/atom
mass density = 7.777 Mg/m³

```
Pm3ErIn2
1.0
2.502 -7.760 0.000
2.502 7.760 0.000
0.000 0.000 4.575
Pm Er In
3 1 2
direct
0.000 0.000 0.000 Pm
0.327 0.673 0.000 Pm
0.673 0.327 0.000 Pm
0.500 0.500 0.500 Er
0.154 0.846 0.500 In
0.846 0.154 0.500 In
```

---

[3]
Below is a relaxed Pm2PrHo2Tm2 crystal, with properties calculated at the PBE level.

Properties
volume = 233.26 Å³ per cell
SG = C2/m, No. 12
E_form = 0.1464 eV/atom
mass density = 7.821 Mg/m³

```
Pm2PrHo2Tm2
1.0
8.842 -1.747 0.000
8.842 1.747 0.000
-3.881 0.000 7.548
Pm Pr Ho Tm
2 1 2 2
direct
0.072 0.072 0.412 Pm
0.928 0.928 0.588 Pm
0.500 0.500 0.000 Pr
0.287 0.287 0.704 Ho
0.713 0.713 0.296 Ho
0.151 0.151 0.894 Tm
0.849 0.849 0.106 Tm
```

---

[4]
Below is a relaxed SiIr2Rh crystal, with properties calculated at the PBE level.

Properties
energy relative to the elements, uncorrected = -0.189 eV/atom
volume = 55.75 Å³ per cell
SG = I4/mmm, No. 139
mass density = 15.352 Mg/m³

```
SiIr2Rh
1.0
-1.952 1.952 3.658
1.952 -1.952 3.658
1.952 1.952 -3.658
Si Ir Rh
1 2 1
direct
0.000 0.000 0.000 Si
0.250 0.750 0.500 Ir
0.750 0.250 0.500 Ir
0.500 0.500 0.000 Rh
```

---

[5]
Below is a relaxed PaTi2Pd crystal, with properties calculated at the PBE level.

Properties
volume = 71.67 Å³ per cell
SG = P4/mmm, No. 123
E_form = -0.1718 eV/atom
mass density = 10.037 Mg/m³

```
PaTi2Pd
1.0
4.818 0.000 0.000
0.000 4.818 0.000
0.000 0.000 3.087
Pa Ti Pd
1 2 1
direct
0.000 0.000 0.000 Pa
0.000 0.500 0.500 Ti
0.500 0.000 0.500 Ti
0.500 0.500 0.000 Pd
```

---

[6]
Below is a relaxed LiLaTaAg2 crystal, with properties calculated at the PBE level.

Properties
volume = 127.05 Å³ per cell
SG = P4/mmm, No. 123
E_form = 1.7486 eV/atom
mass density = 7.091 Mg/m³

```
LiLaTaAg2
1.0
5.191 0.000 0.000
0.000 5.191 0.000
0.000 0.000 4.714
Li La Ta Ag
1 1 1 2
direct
0.000 0.000 0.000 Li
0.000 0.000 0.500 La
0.500 0.500 0.000 Ta
0.000 0.500 0.500 Ag
0.500 0.000 0.500 Ag
```